Record 1
VASP calculation (PBE-GGA) on a relaxed structure of GdHfAg.

Cell: 6.689 6.689 6.689 Å, 150.81 150.81 41.75°
Positions (direct):
Gd 0.000 0.000 0.000
Hf 0.681 0.681 0.000
Ag 0.319 0.319 0.000

## Properties
**E_form**: -0.032 eV per atom
**Uncorrected energy**: -8.99 eV/atom


Record 2
VASP calculation (PBE-GGA) on a relaxed structure of GdHfAgHg.

Cell: 5.067 5.067 5.067 Å, 60.00 60.00 60.00°
Positions (direct):
Gd 0.000 0.000 0.000
Hf 0.500 0.500 0.500
Ag 0.750 0.750 0.750
Hg 0.250 0.250 0.250

## Properties
**E_form**: -0.098 eV per atom
**Uncorrected energy**: -6.89 eV/atom


Record 3
VASP calculation (PBE-GGA) on a relaxed structure of GdHfInAg.

Cell: 5.097 5.097 5.097 Å, 60.00 60.00 60.00°
Positions (direct):
Gd 0.000 0.000 0.000
Hf 0.500 0.500 0.500
In 0.250 0.250 0.250
Ag 0.750 0.750 0.750

## Properties
**E_form**: -0.132 eV per atom
**Uncorrected energy**: -7.54 eV/atom


Record 4
VASP calculation (PBE-GGA) on a relaxed structure of GdHfAgPt.

Cell: 4.911 4.911 4.911 Å, 60.00 60.00 60.00°
Positions (direct):
Gd 0.000 0.000 0.000
Hf 0.500 0.500 0.500
Ag 0.750 0.750 0.750
Pt 0.250 0.250 0.250

## Properties
**E_form**: -0.508 eV per atom
**Uncorrected energy**: -8.74 eV/atom


Record 5
VASP calculation (PBE-GGA) on a relaxed structure of GdHfAgRh.

Cell: 4.874 4.874 4.874 Å, 60.00 60.00 60.00°
Positions (direct):
Gd 0.000 0.000 0.000
Hf 0.500 0.500 0.500
Ag 0.250 0.250 0.250
Rh 0.750 0.750 0.750

## Properties
**E_form**: -0.362 eV per atom
**Uncorrected energy**: -8.92 eV/atom


Record 6
VASP calculation (PBE-GGA) on a relaxed structure of GdHfTcAg.

Cell: 4.853 4.853 4.853 Å, 60.00 60.00 60.00°
Positions (direct):
Gd 0.000 0.000 0.000
Hf 0.500 0.500 0.500
Tc 0.750 0.750 0.750
Ag 0.250 0.250 0.250

## Properties
**E_form**: -0.098 eV per atom
**Uncorrected energy**: -9.41 eV/atom


Record 7
VASP calculation (PBE-GGA) on a relaxed structure of GdHfZnAg.

Cell: 4.953 4.953 4.953 Å, 60.00 60.00 60.00°
Positions (direct):
Gd 0.000 0.000 0.000
Hf 0.500 0.500 0.500
Zn 0.750 0.750 0.750
Ag 0.250 0.250 0.250

## Properties
**E_form**: -0.084 eV per atom
**Uncorrected energy**: -7.12 eV/atom


Record 8
VASP calculation (PBE-GGA) on a relaxed structure of GdAgHg.

Cell: 4.911 4.911 3.365 Å, 90.00 90.00 120.00°
Positions (direct):
Gd 0.000 0.000 0.000
Ag 0.333 0.667 0.500
Hg 0.667 0.333 0.500

## Properties
**E_form**: -0.373 eV per atom
**Uncorrected energy**: -6.12 eV/atom